Entry 1:
CsTl3Zn4Br12 after structural relaxation. Source: Alexandria via LeMat-Bulk, functional PBE.

Results
* total magnetic moment: 0.00 μB per cell
* N(E_F): 0.000 states/eV per cell
* V: 46.18 Å³/atom
* uncorrected formation energy: -0.9326 eV/atom
* crystal system: trigonal

Cell: 10.0479 10.0479 10.0479 Å, 102.88 102.88 102.88°
With the nearest neighbours (Å) after each atom.
Sites, in units of the cell vectors:
Cs 0.0000 0.0000 0.0000  6 Br 3.75
Tl 0.0000 0.5391 0.4609  6 Br 3.34-3.42
Tl 0.4609 0.0000 0.5391  6 Br 3.34-3.42
Tl 0.5391 0.4609 0.0000  6 Br 3.34-3.42
Zn 0.0464 0.5000 0.9536  3 Br 2.35
Zn 0.5000 0.5000 0.5000  3 Br 2.34
Zn 0.5000 0.9536 0.0464  3 Br 2.35
Zn 0.9536 0.0464 0.5000  3 Br 2.35
Br 0.0490 0.6563 0.8112  1 Zn 2.35
Br 0.1033 0.8967 0.5000  1 Zn 2.35
Br 0.1888 0.3437 0.9510  1 Zn 2.35
Br 0.3437 0.9510 0.1888  1 Zn 2.35
Br 0.3508 0.6492 0.5000  1 Zn 2.34
Br 0.5000 0.1033 0.8967  1 Zn 2.35
Br 0.5000 0.3508 0.6492  1 Zn 2.34
Br 0.6492 0.5000 0.3508  1 Zn 2.34
Br 0.6563 0.8112 0.0490  1 Zn 2.35
Br 0.8112 0.0490 0.6563  1 Zn 2.35
Br 0.8967 0.5000 0.1033  1 Zn 2.35
Br 0.9510 0.1888 0.3437  1 Zn 2.35

Entry 2:
HfScOs after structural relaxation. Source: Alexandria via LeMat-Bulk, functional PBE.

Results
* total magnetic moment: 1.10 μB per cell
* N(E_F): 1.738 states/eV per cell
* relative energy among the computed polymorphs: 0 meV/atom
* V: 19.24 Å³/atom
* E_form: -0.344 eV/atom
* crystal system: tetragonal

Cell: 5.8823 5.8823 5.8823 Å, 147.76 147.76 46.24°
With the nearest neighbours (Å) after each atom.
Sites, in units of the cell vectors:
Hf 0.0000 0.0000 0.0000  4 Os 2.75
Sc 0.2907 0.2907 0.0000  4 Os 2.84, 1 Hf 3.15
Os 0.6385 0.6385 0.0000  4 Hf 2.75, 4 Sc 2.84

Entry 3:
La2MoI2 after structural relaxation. Source: Alexandria via LeMat-Bulk, functional PBE.

Results
* total magnetic moment: 5.43 μB per cell
* N(E_F): 8.549 states/eV per cell
* relative energy among the computed polymorphs: 35 meV/atom
* V: 33.16 Å³/atom
* uncorrected formation energy: -0.0214 eV/atom
* crystal system: tetragonal

Cell: 7.9629 7.9629 5.2290 Å, 90.00 90.00 90.00°
With the nearest neighbours (Å) after each atom.
Sites, in units of the cell vectors:
La 0.1713 0.3287 0.0000  2 Mo 2.95, 2 I 3.24
La 0.3287 0.8287 0.0000  2 Mo 2.95, 2 I 3.24
La 0.6713 0.1713 0.0000  2 Mo 2.95, 2 I 3.24
La 0.8287 0.6713 0.0000  2 Mo 2.95, 2 I 3.24
Mo 0.0000 0.0000 0.0000  4 La 2.95
Mo 0.5000 0.5000 0.0000  4 La 2.95
I 0.1580 0.6580 0.5000  2 La 3.24, 1 I 3.56
I 0.3420 0.1580 0.5000  2 La 3.24, 1 I 3.56
I 0.6580 0.8420 0.5000  2 La 3.24, 1 I 3.56
I 0.8420 0.3420 0.5000  2 La 3.24, 1 I 3.56

Entry 4:
HfMnAu2N after structural relaxation. Source: Alexandria via LeMat-Bulk, functional PBE.

Results
* total magnetic moment: 0.00 μB per cell
* N(E_F): 6.457 states/eV per cell
* V: 15.79 Å³/atom
* uncorrected formation energy: 0.3749 eV/atom
* crystal system: tetragonal

Cell: 4.7144 4.7144 3.5530 Å, 90.00 90.00 90.00°
With the nearest neighbours (Å) after each atom.
Sites, in units of the cell vectors:
Hf 0.0000 0.0000 0.0000  8 Au 2.95
Mn 0.5000 0.5000 0.0000  2 N 1.78
Au 0.0000 0.5000 0.5000  2 N 2.36
Au 0.5000 0.0000 0.5000  2 N 2.36
N 0.5000 0.5000 0.5000  2 Mn 1.78